Entry 1
The following is a PBE calculation of an optimized crystal structure of Ba2CrNi, from Alexandria via LeMat-Bulk.

Results
mass density: 4.04 g cm⁻³

Geometry as CIF:
```
data_Ba2CrNi
_symmetry_space_group_name_H-M 'I -4 2 d'
_symmetry_Int_Tables_number 122
_symmetry_space_group_name_Hall 'I -4 2bw'
_cell_length_a 11.457
_cell_length_b 11.457
_cell_length_c 4.823
_cell_angle_alpha 90.00
_cell_angle_beta 90.00
_cell_angle_gamma 90.00
loop_
_atom_site_label
_atom_site_fract_x
_atom_site_fract_y
_atom_site_fract_z
_atom_site_occupancy
Ba1 0.078 0.250 0.125 1
Cr1 0.000 0.000 0.500 1
Ni1 0.000 0.000 0.000 1
```


Entry 2
The following is a PBE calculation of an optimized crystal structure of Ba2CrNi, from Alexandria via LeMat-Bulk.

Results
mass density: 4.35 g cm⁻³

Geometry as CIF:
```
data_Ba2CrNi
_symmetry_space_group_name_H-M 'R -3 m'
_symmetry_Int_Tables_number 166
_symmetry_space_group_name_Hall '-R 3 2"'
_cell_length_a 4.4211
_cell_length_b 4.4211
_cell_length_c 26.0691
_cell_angle_alpha 90.00
_cell_angle_beta 90.00
_cell_angle_gamma 120.00
loop_
_atom_site_label
_atom_site_fract_x
_atom_site_fract_y
_atom_site_fract_z
_atom_site_occupancy
Ba1 0.0000 0.0000 0.2351 1
Cr1 0.0000 0.0000 0.0000 1
Ni1 0.0000 0.0000 0.5000 1
```


On energetic grounds, entry 1 is preferred over the next structure by 165 meV per atom.


Entry 1
The following is a PBE calculation of an optimized crystal structure of Ba2CrNi, from Alexandria via LeMat-Bulk.

Results
mass density: 5.07 g cm⁻³

Geometry as CIF:
```
data_Ba2CrNi
_symmetry_space_group_name_H-M 'C m m m'
_symmetry_Int_Tables_number 65
_symmetry_space_group_name_Hall '-C 2 2'
_cell_length_a 7.883
_cell_length_b 7.890
_cell_length_c 4.056
_cell_angle_alpha 90.00
_cell_angle_beta 90.00
_cell_angle_gamma 90.00
loop_
_atom_site_label
_atom_site_fract_x
_atom_site_fract_y
_atom_site_fract_z
_atom_site_occupancy
Ba1 0.250 0.250 0.000 1
Cr1 0.000 0.000 0.500 1
Ni1 0.000 0.500 0.500 1
```


Entry 2
The following is a PBE calculation of an optimized crystal structure of Ba2CrNi, from Alexandria via LeMat-Bulk.

Results
mass density: 4.69 g cm⁻³

Geometry as CIF:
```
data_Ba2CrNi
_symmetry_space_group_name_H-M 'A m m 2'
_symmetry_Int_Tables_number 38
_cell_length_a 4.447
_cell_length_b 4.827
_cell_length_c 12.717
_cell_angle_alpha 90.00
_cell_angle_beta 90.00
_cell_angle_gamma 90.00
loop_
_symmetry_equiv_pos_as_xyz
'x,y,z'
'-x,-y,z'
'-x,y,z'
'x,-y,z'
'x,y+1/2,z+1/2'
'-x,-y+1/2,z+1/2'
'-x,y+1/2,z+1/2'
'x,-y+1/2,z+1/2'
loop_
_atom_site_label
_atom_site_fract_x
_atom_site_fract_y
_atom_site_fract_z
_atom_site_occupancy
Ba1 0.000 0.000 0.000 1
Ba2 0.500 0.000 0.278 1
Cr1 0.000 0.000 0.686 1
Ni1 0.500 0.000 0.605 1
```


Entry 3
The following is a PBE calculation of an optimized crystal structure of Ba2CrNi, from Alexandria via LeMat-Bulk.

Results
mass density: 5.15 g cm⁻³

Geometry as CIF:
```
data_Ba2CrNi
_symmetry_space_group_name_H-M 'P 4 m m'
_symmetry_Int_Tables_number 99
_cell_length_a 3.651
_cell_length_b 3.651
_cell_length_c 9.316
_cell_angle_alpha 90.00
_cell_angle_beta 90.00
_cell_angle_gamma 90.00
loop_
_symmetry_equiv_pos_as_xyz
'x,y,z'
'-y,x,z'
'-x,-y,z'
'y,-x,z'
'-x,y,z'
'y,x,z'
'x,-y,z'
'-y,-x,z'
loop_
_atom_site_label
_atom_site_fract_x
_atom_site_fract_y
_atom_site_fract_z
_atom_site_occupancy
Ba1 0.000 0.000 0.000 1
Ba2 0.500 0.500 0.421 1
Cr1 0.000 0.000 0.679 1
Ni1 0.500 0.500 0.743 1
```


On energetic grounds, entry 2 is preferred over the next structure by 133 meV per atom.


Entry 1
The following is a PBE calculation of an optimized crystal structure of Ba2CrNi, from Alexandria via LeMat-Bulk.

Results
mass density: 5.69 g cm⁻³

Geometry as CIF:
```
data_Ba2CrNi
_symmetry_space_group_name_H-M 'F -4 3 m'
_symmetry_Int_Tables_number 216
_symmetry_space_group_name_Hall 'F -4 2 3'
_cell_length_a 7.661
_cell_length_b 7.661
_cell_length_c 7.661
_cell_angle_alpha 90.00
_cell_angle_beta 90.00
_cell_angle_gamma 90.00
loop_
_atom_site_label
_atom_site_fract_x
_atom_site_fract_y
_atom_site_fract_z
_atom_site_occupancy
Ba1 0.000 0.000 0.000 1
Ba2 0.250 0.250 0.250 1
Cr1 0.000 0.000 0.500 1
Ni1 0.250 0.250 0.750 1
```


Entry 2
The following is a PBE calculation of an optimized crystal structure of Ba2CrNi, from Alexandria via LeMat-Bulk.

Results
mass density: 5.05 g cm⁻³

Geometry as CIF:
```
data_Ba2CrNi
_symmetry_space_group_name_H-M 'P m m m'
_symmetry_Int_Tables_number 47
_cell_length_a 3.886
_cell_length_b 3.939
_cell_length_c 8.272
_cell_angle_alpha 90.00
_cell_angle_beta 90.00
_cell_angle_gamma 90.00
loop_
_symmetry_equiv_pos_as_xyz
'x,y,z'
'-x,-y,-z'
'-x,-y,z'
'x,y,-z'
'x,-y,-z'
'-x,y,z'
'-x,y,-z'
'x,-y,z'
loop_
_atom_site_label
_atom_site_fract_x
_atom_site_fract_y
_atom_site_fract_z
_atom_site_occupancy
Ba1 0.000 0.000 0.220 1
Cr1 0.500 0.500 0.500 1
Ni1 0.500 0.500 0.000 1
```


Entry 3
The following is a PBE calculation of an optimized crystal structure of Ba2CrNi, from Alexandria via LeMat-Bulk.

Results
mass density: 4.22 g cm⁻³

Geometry as CIF:
```
data_Ba2CrNi
_symmetry_space_group_name_H-M 'I m m 2'
_symmetry_Int_Tables_number 44
_cell_length_a 4.348
_cell_length_b 4.634
_cell_length_c 15.049
_cell_angle_alpha 90.00
_cell_angle_beta 90.00
_cell_angle_gamma 90.00
loop_
_symmetry_equiv_pos_as_xyz
'x,y,z'
'-x,-y,z'
'-x,y,z'
'x,-y,z'
'x+1/2,y+1/2,z+1/2'
'-x+1/2,-y+1/2,z+1/2'
'-x+1/2,y+1/2,z+1/2'
'x+1/2,-y+1/2,z+1/2'
loop_
_atom_site_label
_atom_site_fract_x
_atom_site_fract_y
_atom_site_fract_z
_atom_site_occupancy
Ba1 0.000 0.000 0.000 1
Ba2 0.000 0.500 0.252 1
Cr1 0.000 0.000 0.414 1
Ni1 0.000 0.500 0.848 1
```


Entry 4
The following is a PBE calculation of an optimized crystal structure of Ba2CrNi, from Alexandria via LeMat-Bulk.

Results
mass density: 5.07 g cm⁻³

Geometry as CIF:
```
data_Ba2CrNi
_symmetry_space_group_name_H-M 'F m -3 m'
_symmetry_Int_Tables_number 225
_symmetry_space_group_name_Hall '-F 4 2 3'
_cell_length_a 7.965
_cell_length_b 7.965
_cell_length_c 7.965
_cell_angle_alpha 90.00
_cell_angle_beta 90.00
_cell_angle_gamma 90.00
loop_
_atom_site_label
_atom_site_fract_x
_atom_site_fract_y
_atom_site_fract_z
_atom_site_occupancy
Ba1 0.250 0.250 0.250 1
Cr1 0.000 0.000 0.000 1
Ni1 0.000 0.000 0.500 1
```


On energetic grounds, entry 3 is preferred over the next structure by 119 meV per atom.


Entry 1
The following is a PBE calculation of an optimized crystal structure of BaTa2CrNi, from Alexandria via LeMat-Bulk.

Results
mass density: 8.23 g cm⁻³

Geometry as CIF:
```
data_BaTa2CrNi
_symmetry_space_group_name_H-M 'P 4/m m m'
_symmetry_Int_Tables_number 123
_symmetry_space_group_name_Hall '-P 4 2'
_cell_length_a 4.589
_cell_length_b 4.589
_cell_length_c 5.846
_cell_angle_alpha 90.00
_cell_angle_beta 90.00
_cell_angle_gamma 90.00
loop_
_atom_site_label
_atom_site_fract_x
_atom_site_fract_y
_atom_site_fract_z
_atom_site_occupancy
Ba1 0.000 0.000 0.000 1
Ta1 0.000 0.500 0.500 1
Cr1 0.000 0.000 0.500 1
Ni1 0.500 0.500 0.000 1
```


Entry 2
The following is a PBE calculation of an optimized crystal structure of BaTa2CrNi, from Alexandria via LeMat-Bulk.

Results
mass density: 7.93 g cm⁻³

Geometry as CIF:
```
data_BaTa2CrNi
_symmetry_space_group_name_H-M 'P 4/m m m'
_symmetry_Int_Tables_number 123
_symmetry_space_group_name_Hall '-P 4 2'
_cell_length_a 4.711
_cell_length_b 4.711
_cell_length_c 5.752
_cell_angle_alpha 90.00
_cell_angle_beta 90.00
_cell_angle_gamma 90.00
loop_
_atom_site_label
_atom_site_fract_x
_atom_site_fract_y
_atom_site_fract_z
_atom_site_occupancy
Ba1 0.000 0.000 0.000 1
Ta1 0.000 0.500 0.500 1
Cr1 0.500 0.500 0.000 1
Ni1 0.000 0.000 0.500 1
```


On energetic grounds, entry 2 is preferred over the next structure by 179 meV per atom.